# 1
Below is a geometry-optimized AlTl2Tc structure, with properties calculated at the PBE level.

a b c (Å): 7.798 7.798 7.798
angles (deg): 95.46 95.46 144.07
Fractional coordinates of all 8 atoms:
Al: 0.000 0.000 0.000
Al: 0.750 0.250 0.500
Tl: 0.374 0.125 0.749
Tl: 0.375 0.626 0.751
Tl: 0.376 0.625 0.251
Tl: 0.875 0.624 0.249
Tc: 0.250 0.750 0.500
Tc: 0.500 0.500 0.000

Calculated values
The calculation puts the formation energy at 49 kJ/mol of atoms. The energy relative to the lowest polymorph listed for this composition comes out at 23.7 kJ/mol of atoms.



# 2
Below is a geometry-optimized AlTl2Tc structure, with properties calculated at the PBE level.

a b c (Å): 3.090 3.090 9.692
angles (deg): 90.00 90.00 111.89
Fractional coordinates of all 4 atoms:
Al: 0.000 0.000 0.000
Tl: 0.500 0.500 0.267
Tl: 0.500 0.500 0.733
Tc: 0.000 0.000 0.500

Calculated values
The calculation puts the formation energy at 66 kJ/mol of atoms. The energy relative to the lowest polymorph listed for this composition comes out at 40.8 kJ/mol of atoms.



# 3
Below is a geometry-optimized Al2TlTc structure, with properties calculated at the PBE level.

a b c (Å): 3.492 4.378 4.393
angles (deg): 90.00 90.00 90.00
Fractional coordinates of all 4 atoms:
Al: 0.000 0.000 0.000
Al: 0.000 0.500 0.500
Tl: 0.500 0.000 0.500
Tc: 0.500 0.500 0.000

Calculated values
The calculation puts the formation energy at 27 kJ/mol of atoms.



# 4
Below is a geometry-optimized Al2TlTc2 structure, with properties calculated at the PBE level.

a b c (Å): 6.795 6.795 6.795
angles (deg): 148.01 148.01 45.88
Fractional coordinates of all 5 atoms:
Al: 0.250 0.750 0.500
Al: 0.750 0.250 0.500
Tl: 0.000 0.000 0.000
Tc: 0.396 0.396 0.000
Tc: 0.604 0.604 0.000

Calculated values
The calculation puts the formation energy at 29 kJ/mol of atoms. The energy relative to the lowest polymorph listed for this composition comes out at 24.4 kJ/mol of atoms.



# 5
Below is a geometry-optimized AlTl2Tc structure, with properties calculated at the PBE level.

a b c (Å): 3.703 3.703 5.805
angles (deg): 90.00 90.00 90.00
Fractional coordinates of all 4 atoms:
Al: 0.000 0.000 0.000
Tl: 0.500 0.500 0.254
Tl: 0.500 0.500 0.746
Tc: 0.000 0.000 0.500

Calculated values
The calculation puts the formation energy at 55 kJ/mol of atoms. The energy relative to the lowest polymorph listed for this composition comes out at 30.1 kJ/mol of atoms.



# 6
Below is a geometry-optimized Al2TlTc structure, with properties calculated at the PBE level.

a b c (Å): 9.162 9.162 9.162
angles (deg): 19.44 19.44 19.44
Fractional coordinates of all 4 atoms:
Al: 0.236 0.236 0.236
Al: 0.764 0.764 0.764
Tl: 0.000 0.000 0.000
Tc: 0.500 0.500 0.500

Calculated values
The calculation puts the formation energy at 8 kJ/mol of atoms.



# 7
Below is a geometry-optimized Al2TlTc structure, with properties calculated at the PBE level.

a b c (Å): 3.172 3.133 7.826
angles (deg): 90.00 98.81 90.00
Fractional coordinates of all 4 atoms:
Al: 0.063 0.000 0.172
Al: 0.937 0.000 0.828
Tl: 0.500 0.500 0.500
Tc: 0.500 0.500 0.000

Calculated values
The calculation puts the formation energy at -4 kJ/mol of atoms.



# 8
Below is a geometry-optimized AlTl2Tc structure, with properties calculated at the PBE level.

a b c (Å): 7.085 7.085 7.085
angles (deg): 156.07 140.37 46.83
Fractional coordinates of all 4 atoms:
Al: 0.000 0.000 0.000
Tl: 0.372 0.372 0.000
Tl: 0.674 0.174 0.500
Tc: 0.164 0.664 0.500

Calculated values
The calculation puts the formation energy at 39 kJ/mol of atoms. The energy relative to the lowest polymorph listed for this composition comes out at 13.6 kJ/mol of atoms.



# 9
Below is a geometry-optimized AlTl2Tc structure, with properties calculated at the PBE level.

a b c (Å): 5.399 5.399 5.052
angles (deg): 97.06 97.06 33.92
Fractional coordinates of all 4 atoms:
Al: 0.000 0.000 0.000
Tl: 0.236 0.236 0.741
Tl: 0.764 0.764 0.259
Tc: 0.500 0.500 0.500

Calculated values
The calculation puts the formation energy at 58 kJ/mol of atoms. The energy relative to the lowest polymorph listed for this composition comes out at 32.6 kJ/mol of atoms.



# 10
Below is a geometry-optimized AlTl2Tc structure, with properties calculated at the PBE level.

a b c (Å): 4.864 4.864 4.864
angles (deg): 60.00 60.00 60.00
Fractional coordinates of all 4 atoms:
Al: 0.000 0.000 0.000
Tl: 0.250 0.250 0.250
Tl: 0.750 0.750 0.750
Tc: 0.500 0.500 0.500

Calculated values
The calculation puts the formation energy at 78 kJ/mol of atoms. The energy relative to the lowest polymorph listed for this composition comes out at 53.2 kJ/mol of atoms.



# 11
Below is a geometry-optimized AlTl2Tc structure, with properties calculated at the PBE level.

a b c (Å): 5.792 5.792 3.224
angles (deg): 105.31 105.31 117.79
Fractional coordinates of all 4 atoms:
Al: 0.000 0.000 0.000
Tl: 0.000 0.500 0.000
Tl: 0.500 0.000 0.000
Tc: 0.500 0.500 0.000

Calculated values
The calculation puts the formation energy at 61 kJ/mol of atoms. The energy relative to the lowest polymorph listed for this composition comes out at 35.8 kJ/mol of atoms.



# 12
Below is a geometry-optimized AlTlTc structure, with properties calculated at the PBE level.

a b c (Å): 5.458 5.458 5.458
angles (deg): 144.57 144.57 50.97
Fractional coordinates of all 3 atoms:
Al: 0.000 0.000 0.000
Tl: 0.293 0.293 0.000
Tc: 0.603 0.603 0.000

Calculated values
The calculation puts the formation energy at 23 kJ/mol of atoms. The energy relative to the lowest polymorph listed for this composition comes out at 0.0 kJ/mol of atoms.



# 13
Below is a geometry-optimized Al2TlTc structure, with properties calculated at the PBE level.

a b c (Å): 4.515 4.515 3.393
angles (deg): 90.00 90.00 100.44
Fractional coordinates of all 4 atoms:
Al: 0.000 0.500 0.000
Al: 0.500 0.000 0.000
Tl: 0.000 0.000 0.500
Tc: 0.500 0.500 0.500

Calculated values
The calculation puts the formation energy at 25 kJ/mol of atoms.



# 14
Below is a geometry-optimized Al2TlTc2 structure, with properties calculated at the PBE level.

a b c (Å): 7.045 7.045 3.231
angles (deg): 90.00 90.00 90.00
Fractional coordinates of all 10 atoms:
Al: 0.128 0.372 0.000
Al: 0.372 0.872 0.000
Al: 0.628 0.128 0.000
Al: 0.872 0.628 0.000
Tl: 0.000 0.000 0.000
Tl: 0.500 0.500 0.000
Tc: 0.164 0.664 0.500
Tc: 0.336 0.164 0.500
Tc: 0.664 0.836 0.500
Tc: 0.836 0.336 0.500

Calculated values
The calculation puts the formation energy at 13 kJ/mol of atoms. The energy relative to the lowest polymorph listed for this composition comes out at 8.3 kJ/mol of atoms.



# 15
Below is a geometry-optimized AlTlTc structure, with properties calculated at the PBE level.

a b c (Å): 4.354 4.354 3.341
angles (deg): 90.00 90.00 120.00
Fractional coordinates of all 3 atoms:
Al: 0.000 0.000 0.000
Tl: 0.333 0.667 0.500
Tc: 0.667 0.333 0.000

Calculated values
The calculation puts the formation energy at 40 kJ/mol of atoms. The energy relative to the lowest polymorph listed for this composition comes out at 16.3 kJ/mol of atoms.



# 16
Below is a geometry-optimized Al2TlTc structure, with properties calculated at the PBE level.

a b c (Å): 4.630 4.630 4.630
angles (deg): 60.00 60.00 60.00
Fractional coordinates of all 4 atoms:
Al: 0.000 0.000 0.000
Al: 0.250 0.250 0.250
Tl: 0.500 0.500 0.500
Tc: 0.750 0.750 0.750

Calculated values
The calculation puts the formation energy at 52 kJ/mol of atoms.



# 17
Below is a geometry-optimized Tm2AlTc structure, with properties calculated at the PBE level.

a b c (Å): 3.505 3.505 6.905
angles (deg): 90.00 90.00 90.00
Fractional coordinates of all 4 atoms:
Tm: 0.000 0.000 0.228
Tm: 0.000 0.000 0.772
Al: 0.500 0.500 0.500
Tc: 0.500 0.500 0.000

Calculated values
The calculation puts the formation energy at -23 kJ/mol of atoms.



# 18
Below is a geometry-optimized Tm2AlTc structure, with properties calculated at the PBE level.

a b c (Å): 10.444 10.444 10.444
angles (deg): 18.23 18.23 18.23
Fractional coordinates of all 4 atoms:
Tm: 0.101 0.101 0.101
Tm: 0.899 0.899 0.899
Al: 0.000 0.000 0.000
Tc: 0.500 0.500 0.500

Calculated values
The calculation puts the formation energy at 29 kJ/mol of atoms.



# 19
Below is a geometry-optimized Tm4Al12Tc structure, with properties calculated at the PBE level.

a b c (Å): 7.462 7.462 7.462
angles (deg): 109.47 109.47 109.47
Fractional coordinates of all 17 atoms:
Tm: 0.000 0.000 0.500
Tm: 0.000 0.500 0.000
Tm: 0.500 0.000 0.000
Tm: 0.500 0.500 0.500
Al: 0.000 0.288 0.288
Al: 0.000 0.712 0.712
Al: 0.250 0.500 0.750
Al: 0.250 0.750 0.500
Al: 0.288 0.000 0.288
Al: 0.288 0.288 0.000
Al: 0.500 0.250 0.750
Al: 0.500 0.750 0.250
Al: 0.712 0.000 0.712
Al: 0.712 0.712 0.000
Al: 0.750 0.250 0.500
Al: 0.750 0.500 0.250
Tc: 0.000 0.000 0.000

Calculated values
The calculation puts the formation energy at -41 kJ/mol of atoms.



# 20
Below is a geometry-optimized TmAl2Tc structure, with properties calculated at the PBE level.

a b c (Å): 4.613 4.613 4.613
angles (deg): 60.00 60.00 60.00
Fractional coordinates of all 4 atoms:
Tm: 0.000 0.000 0.000
Al: 0.250 0.250 0.250
Al: 0.750 0.750 0.750
Tc: 0.500 0.500 0.500

Calculated values
The calculation puts the formation energy at -23 kJ/mol of atoms. The energy relative to the lowest polymorph listed for this composition comes out at 9.8 kJ/mol of atoms.



Q: Which magnetic moment values were calculated for the entries above? A: 0.00 1.08 0.00 0.48 0.00 0.00 0.00 0.13 1.11 1.00 0.93 0.54 0.00 0.00 0.00 0.00 0.00 0.00 0.00 0.00, in μB/cell.
Q: Which E values were calculated for the entries above? A: -4.20 -4.03 -4.77 -5.81 -4.14 -4.98 -5.10 -4.31 -4.11 -3.90 -4.08 -5.25 -4.79 -5.98 -5.08 -4.52 -6.00 -5.46 -4.73 -5.82, in eV per atom.